Computed, not measured: Ti2GeB after structural relaxation at the PBE-GGA level of DFT.

a b c (Å): 4.267 4.267 4.267
angles (deg): 60.00 60.00 60.00
Positions (direct):
Ti 0.250 0.250 0.250
Ti 0.750 0.750 0.750
Ge 0.000 0.000 0.000
B 0.500 0.500 0.500

Properties
Formation energy from the elements: 0.0821 eV/atom
Density: 5.41 g/cm3
Energy relative to the lowest polymorph listed for this composition: 228 kJ/mol of formula units
E_tot: -6.689 eV/atom



Computed, not measured: VFeI3 after structural relaxation at the PBE-GGA level of DFT.

a b c (Å): 5.558 5.558 5.558
angles (deg): 90.00 90.00 90.00
Positions (direct):
V 0.000 0.000 0.000
Fe 0.500 0.500 0.500
I 0.000 0.000 0.500
I 0.000 0.500 0.000
I 0.500 0.000 0.000

Properties
ΔE_f (raw): 0.56 eV per atom
Density: 4.71 g/cm3
E_tot: -3.882 eV/atom



Computed, not measured: PW4Cl after structural relaxation at the PBE-GGA level of DFT.

a b c (Å): 5.345 5.345 5.345
angles (deg): 60.00 60.00 60.00
Positions (direct):
P 0.000 0.000 0.000
W 0.131 0.623 0.623
W 0.623 0.131 0.623
W 0.623 0.623 0.131
W 0.623 0.623 0.623
Cl 0.250 0.250 0.250

Properties
ΔE_f (raw): 1.35 eV per atom
Density: 12.33 g/cm3
E_tot: -8.494 eV/atom



Computed, not measured: Sr2YP after structural relaxation at the PBE-GGA level of DFT.

a b c (Å): 7.607 7.607 4.257
angles (deg): 90.00 90.00 137.84
Positions (direct):
Sr 0.147 0.853 0.000
Sr 0.853 0.147 0.000
Y 0.500 0.500 0.500
P 0.000 0.000 0.500

Properties
Formation energy from the elements: -0.4861 eV/atom
Density: 2.96 g/cm3
E_tot: -4.296 eV/atom



Computed, not measured: LiCd2Ni after structural relaxation at the PBE-GGA level of DFT.

a b c (Å): 9.690 9.690 9.690
angles (deg): 17.30 17.30 17.30
Positions (direct):
Li 0.000 0.000 0.000
Cd 0.524 0.524 0.524
Cd 0.755 0.755 0.755
Ni 0.266 0.266 0.266

Properties
Formation energy from the elements: 0.0735 eV/atom
Density: 6.87 g/cm3
Energy relative to the lowest polymorph listed for this composition: 82 kJ/mol of formula units
E_tot: -2.308 eV/atom



Computed, not measured: CaInH after structural relaxation at the PBE-GGA level of DFT.

a b c (Å): 4.618 4.720 6.456
angles (deg): 90.00 69.30 89.22
Positions (direct):
Ca 0.130 0.218 0.224
Ca 0.870 0.782 0.776
In 0.410 0.289 0.688
In 0.590 0.711 0.312
H 0.252 0.986 0.490
H 0.748 0.014 0.510

Properties
Density: 3.93 g/cm3
Energy relative to the lowest polymorph listed for this composition: 74 kJ/mol of formula units
E_tot: -2.912 eV/atom



Computed, not measured: KSrSi after structural relaxation at the PBE-GGA level of DFT.

a b c (Å): 11.826 10.589 7.213
angles (deg): 80.85 62.13 37.03
Positions (direct):
K 0.037 0.037 0.213
K 0.213 0.213 0.037
K 0.787 0.787 0.963
K 0.963 0.963 0.787
Sr 0.224 0.526 0.224
Sr 0.474 0.776 0.474
Sr 0.526 0.224 0.526
Sr 0.776 0.474 0.776
Si 0.244 0.244 0.506
Si 0.494 0.494 0.756
Si 0.506 0.506 0.244
Si 0.756 0.756 0.494

Properties
ΔE_f (raw): 0.04 eV per atom
Density: 2.34 g/cm3
Energy relative to the lowest polymorph listed for this composition: 0 kJ/mol of formula units
E_tot: -2.695 eV/atom



Computed, not measured: Ni2MoC after structural relaxation at the PBE-GGA level of DFT.

a b c (Å): 5.587 5.587 5.543
angles (deg): 108.43 108.43 32.09
Positions (direct):
Ni 0.039 0.039 0.309
Ni 0.305 0.305 0.395
Ni 0.695 0.695 0.605
Ni 0.961 0.961 0.691
Mo 0.361 0.361 0.969
Mo 0.639 0.639 0.031
C 0.148 0.148 0.769
C 0.852 0.852 0.231

Properties
Formation energy from the elements: 0.0578 eV/atom
Density: 8.62 g/cm3
E_tot: -7.847 eV/atom